[1]
CoNiMo | PBE | relaxed

abc: 5.696 5.696 2.634
angles: 76.63 76.63 26.74
Element x y z (fractional)
1 Co 0.005 0.005 0.995
2 Ni 0.660 0.660 0.340
3 Mo 0.336 0.336 0.664

Calculated values
- total moment (μB per cell) = 1.187
- V (A^3/atom) = 12.4
- DOS at the Fermi energy (states/eV per cell) = 3.77
- E_form (eV per atom) = 0.05
- ρ (g/cm3) = 9.5

***

[2]
CoNiMo2 | PBE | relaxed

abc: 4.534 4.534 4.691
angles: 81.52 81.52 33.90
Element x y z (fractional)
1 Co 0.246 0.246 0.242
2 Mo 0.993 0.993 0.033
3 Mo 0.757 0.757 0.716
4 Ni 0.505 0.505 0.508

Calculated values
- total moment (μB per cell) = 0.000
- V (A^3/atom) = 13.3
- DOS at the Fermi energy (states/eV per cell) = 4.65
- E_form (eV per atom) = 0.08
- ρ (g/cm3) = 9.7

***

[3]
Co4NiMo | PBE | relaxed

abc: 4.865 4.821 6.936
angles: 90.00 90.00 61.80
Element x y z (fractional)
1 Co 0.743 0.998 0.935
2 Co 0.257 0.502 0.935
3 Co 0.743 0.998 0.565
4 Mo 0.000 0.750 0.250
5 Co 0.743 0.498 0.065
6 Co 0.257 0.502 0.565
7 Ni 0.500 0.250 0.250
8 Co 0.743 0.498 0.435
9 Ni 0.500 0.750 0.750
10 Co 0.257 0.002 0.065
11 Mo 0.000 0.250 0.750
12 Co 0.257 0.002 0.435

Calculated values
- total moment (μB per cell) = 8.611
- V (A^3/atom) = 11.9
- DOS at the Fermi energy (states/eV per cell) = 15.11
- E_form (eV per atom) = 0.25
- ρ (g/cm3) = 9.0

***

[4]
CoNi3Mo | PBE | relaxed

abc: 4.343 4.671 6.015
angles: 90.00 97.22 90.00
Element x y z (fractional)
1 Ni 0.828 0.250 0.457
2 Mo 0.372 0.250 0.675
3 Ni 0.172 0.750 0.543
4 Ni 0.886 0.504 0.810
5 Co 0.417 0.750 0.929
6 Ni 0.886 0.996 0.810
7 Ni 0.114 0.496 0.190
8 Ni 0.114 0.004 0.190
9 Co 0.583 0.250 0.071
10 Mo 0.628 0.750 0.325

Calculated values
- total moment (μB per cell) = 2.890
- V (A^3/atom) = 12.1
- DOS at the Fermi energy (states/eV per cell) = 13.61
- E_form (eV per atom) = 0.13
- ρ (g/cm3) = 9.1

***

[5]
Co3NiMo | PBE | relaxed

abc: 4.349 4.349 4.349
angles: 90.00 90.00 90.00
Element x y z (fractional)
1 Co 0.500 0.000 0.000
2 Mo 0.000 0.000 0.000
3 Ni 0.500 0.500 0.500
4 Co 0.000 0.000 0.500
5 Co 0.000 0.500 0.000

Calculated values
- total moment (μB per cell) = 1.596
- V (A^3/atom) = 16.5
- DOS at the Fermi energy (states/eV per cell) = 10.86
- E_form (eV per atom) = 1.66
- ρ (g/cm3) = 6.7

***

[6]
CoNiMo | PBE | relaxed

abc: 3.603 3.589 6.001
angles: 90.00 107.51 90.00
Element x y z (fractional)
1 Co 0.578 0.750 0.155
2 Ni 0.250 0.750 0.501
3 Mo 0.910 0.750 0.819
4 Ni 0.750 0.250 0.499
5 Co 0.422 0.250 0.845
6 Mo 0.090 0.250 0.181

Calculated values
- total moment (μB per cell) = 0.001
- V (A^3/atom) = 12.3
- DOS at the Fermi energy (states/eV per cell) = 8.38
- E_form (eV per atom) = 0.03
- ρ (g/cm3) = 9.6

***

[7]
CoNiMo2 | PBE | relaxed

abc: 8.905 8.905 8.905
angles: 17.24 17.24 17.24
Element x y z (fractional)
1 Ni 0.250 0.250 0.250
2 Mo 0.499 0.499 0.499
3 Mo 0.001 0.001 0.001
4 Co 0.750 0.750 0.750

Calculated values
- total moment (μB per cell) = 1.047
- V (A^3/atom) = 13.5
- DOS at the Fermi energy (states/eV per cell) = 3.81
- E_form (eV per atom) = 0.22
- ρ (g/cm3) = 9.5

***

[8]
CoNiMo2 | PBE | relaxed

abc: 3.127 3.127 5.474
angles: 90.00 90.00 90.00
Element x y z (fractional)
1 Mo 0.000 0.000 0.978
2 Ni 0.000 0.000 0.509
3 Co 0.500 0.500 0.741
4 Mo 0.500 0.500 0.272

Calculated values
- total moment (μB per cell) = 0.731
- V (A^3/atom) = 13.4
- DOS at the Fermi energy (states/eV per cell) = 4.69
- E_form (eV per atom) = 0.11
- ρ (g/cm3) = 9.6

***

[9]
CoNiMo2 | PBE | relaxed

abc: 4.629 4.629 4.629
angles: 132.08 132.08 70.09
Element x y z (fractional)
1 Mo 0.000 0.000 0.000
2 Ni 0.500 0.500 0.000
3 Mo 0.250 0.750 0.500
4 Co 0.750 0.250 0.500

Calculated values
- total moment (μB per cell) = 1.484
- V (A^3/atom) = 13.4
- DOS at the Fermi energy (states/eV per cell) = 5.95
- E_form (eV per atom) = 0.14
- ρ (g/cm3) = 9.6

***

[10]
Co2NiMo2 | PBE | relaxed

abc: 6.929 6.929 2.736
angles: 90.00 90.00 90.00
Element x y z (fractional)
1 Co 0.376 0.876 0.000
2 Co 0.876 0.624 0.000
3 Mo 0.826 0.326 0.500
4 Co 0.624 0.124 0.000
5 Mo 0.174 0.674 0.500
6 Ni 0.000 0.000 0.000
7 Mo 0.326 0.174 0.500
8 Mo 0.674 0.826 0.500
9 Co 0.124 0.376 0.000
10 Ni 0.500 0.500 0.000

Calculated values
- total moment (μB per cell) = 2.356
- V (A^3/atom) = 13.1
- DOS at the Fermi energy (states/eV per cell) = 8.42
- E_form (eV per atom) = 0.16
- ρ (g/cm3) = 9.3

***

[11]
CoNi4Mo | PBE | relaxed

abc: 4.389 4.388 4.422
angles: 80.23 80.25 119.57
Element x y z (fractional)
1 Ni 0.163 0.338 0.001
2 Mo 0.498 0.003 0.001
3 Ni 0.329 0.171 0.502
4 Ni 0.667 0.834 0.501
5 Ni 0.833 0.668 0.002
6 Co 0.998 0.503 0.501

Calculated values
- total moment (μB per cell) = 2.552
- V (A^3/atom) = 11.6
- DOS at the Fermi energy (states/eV per cell) = 6.30
- E_form (eV per atom) = -0.02
- ρ (g/cm3) = 9.3

***

[12]
CoNiMo | PBE | relaxed

abc: 3.914 3.914 3.914
angles: 60.00 60.00 60.00
Element x y z (fractional)
1 Ni 0.500 0.500 0.500
2 Mo 0.000 0.000 0.000
3 Co 0.750 0.750 0.750

Calculated values
- total moment (μB per cell) = 0.014
- V (A^3/atom) = 14.1
- DOS at the Fermi energy (states/eV per cell) = 4.51
- E_form (eV per atom) = 0.49
- ρ (g/cm3) = 8.4